Density functional theory data (GGA-PBE) for a relaxed structure of Sc2CrPb2.

The structure in CIF format:
```
data_Sc2CrPb2
_symmetry_space_group_name_H-M 'P 1'
_symmetry_Int_Tables_number 1
_cell_length_a 7.352
_cell_length_b 7.352
_cell_length_c 4.351
_cell_angle_alpha 90.00
_cell_angle_beta 90.00
_cell_angle_gamma 90.00
loop_
_symmetry_equiv_pos_as_xyz
'x,y,z'
loop_
_atom_site_label
_atom_site_fract_x
_atom_site_fract_y
_atom_site_fract_z
Pb1 0.354 0.854 0.000
Pb2 0.854 0.646 0.000
Pb3 0.646 0.146 0.000
Pb4 0.146 0.354 0.000
Cr1 0.000 0.000 0.000
Cr2 0.500 0.500 0.000
Sc1 0.164 0.664 0.500
Sc2 0.664 0.836 0.500
Sc3 0.836 0.336 0.500
Sc4 0.336 0.164 0.500
```

Values from the calculation:
Space group: No. 127
ΔH_f (0 K), eV/f.u.: -0.2

***

Density functional theory data (GGA-PBE) for a relaxed structure of ScCr2Pb.

The structure in CIF format:
```
data_ScCr2Pb
_symmetry_space_group_name_H-M 'P 1'
_symmetry_Int_Tables_number 1
_cell_length_a 4.370
_cell_length_b 4.368
_cell_length_c 3.968
_cell_angle_alpha 90.00
_cell_angle_beta 90.00
_cell_angle_gamma 90.00
loop_
_symmetry_equiv_pos_as_xyz
'x,y,z'
loop_
_atom_site_label
_atom_site_fract_x
_atom_site_fract_y
_atom_site_fract_z
Cr1 0.000 0.000 0.000
Cr2 0.500 0.500 0.000
Pb1 0.500 0.000 0.500
Sc1 0.000 0.500 0.500
```

Values from the calculation:
Space group: No. 123
ΔH_f (0 K), eV/f.u.: 1.5

***

Density functional theory data (GGA-PBE) for a relaxed structure of ScCr2Pb.

The structure in CIF format:
```
data_ScCr2Pb
_symmetry_space_group_name_H-M 'P 1'
_symmetry_Int_Tables_number 1
_cell_length_a 9.758
_cell_length_b 9.758
_cell_length_c 9.758
_cell_angle_alpha 18.72
_cell_angle_beta 18.72
_cell_angle_gamma 18.72
loop_
_symmetry_equiv_pos_as_xyz
'x,y,z'
loop_
_atom_site_label
_atom_site_fract_x
_atom_site_fract_y
_atom_site_fract_z
Cr1 0.004 0.004 0.004
Cr2 0.496 0.496 0.496
Pb1 0.250 0.250 0.250
Sc1 0.750 0.750 0.750
```

Values from the calculation:
Space group: No. 166
ΔH_f (0 K), eV/f.u.: 2.5

***

Density functional theory data (GGA-PBE) for a relaxed structure of Sc2Cr2Pb.

The structure in CIF format:
```
data_Sc2Cr2Pb
_symmetry_space_group_name_H-M 'P 1'
_symmetry_Int_Tables_number 1
_cell_length_a 6.868
_cell_length_b 6.868
_cell_length_c 4.092
_cell_angle_alpha 90.00
_cell_angle_beta 90.00
_cell_angle_gamma 90.00
loop_
_symmetry_equiv_pos_as_xyz
'x,y,z'
loop_
_atom_site_label
_atom_site_fract_x
_atom_site_fract_y
_atom_site_fract_z
Pb1 0.000 0.000 0.000
Pb2 0.500 0.500 0.000
Cr1 0.401 0.901 0.000
Cr2 0.901 0.599 0.000
Cr3 0.599 0.099 0.000
Cr4 0.099 0.401 0.000
Sc1 0.178 0.678 0.500
Sc2 0.678 0.822 0.500
Sc3 0.822 0.322 0.500
Sc4 0.322 0.178 0.500
```

Values from the calculation:
Space group: No. 127
ΔH_f (0 K), eV/f.u.: 0.6

***

What did the fourth record say?
Density functional theory data (GGA-PBE) for a relaxed structure of Sc2Cr2Pb.

The structure in CIF format:
```
data_Sc2Cr2Pb
_symmetry_space_group_name_H-M 'P 1'
_symmetry_Int_Tables_number 1
_cell_length_a 6.868
_cell_length_b 6.868
_cell_length_c 4.092
_cell_angle_alpha 90.00
_cell_angle_beta 90.00
_cell_angle_gamma 90.00
loop_
_symmetry_equiv_pos_as_xyz
'x,y,z'
loop_
_atom_site_label
_atom_site_fract_x
_atom_site_fract_y
_atom_site_fract_z
Pb1 0.000 0.000 0.000
Pb2 0.500 0.500 0.000
Cr1 0.401 0.901 0.000
Cr2 0.901 0.599 0.000
Cr3 0.599 0.099 0.000
Cr4 0.099 0.401 0.000
Sc1 0.178 0.678 0.500
Sc2 0.678 0.822 0.500
Sc3 0.822 0.322 0.500
Sc4 0.322 0.178 0.500
```

Values from the calculation:
Space group: No. 127
ΔH_f (0 K), eV/f.u.: 0.6

***

Copy entry 3 word for word.
Density functional theory data (GGA-PBE) for a relaxed structure of ScCr2Pb.

The structure in CIF format:
```
data_ScCr2Pb
_symmetry_space_group_name_H-M 'P 1'
_symmetry_Int_Tables_number 1
_cell_length_a 9.758
_cell_length_b 9.758
_cell_length_c 9.758
_cell_angle_alpha 18.72
_cell_angle_beta 18.72
_cell_angle_gamma 18.72
loop_
_symmetry_equiv_pos_as_xyz
'x,y,z'
loop_
_atom_site_label
_atom_site_fract_x
_atom_site_fract_y
_atom_site_fract_z
Cr1 0.004 0.004 0.004
Cr2 0.496 0.496 0.496
Pb1 0.250 0.250 0.250
Sc1 0.750 0.750 0.750
```

Values from the calculation:
Space group: No. 166
ΔH_f (0 K), eV/f.u.: 2.5

***

- What is the ΔH_f (0 K) in the fourth record?
  0.6 eV/f.u.

***

- Which value of ΔH_f (0 K) does entry 3 give?
  2.5 eV/f.u.